Compound: CaDy2Co
Source: Alexandria
Functional: PBE
Structure: relaxed

Cell lengths 3.7929, 3.7929, 10.6015 Å; angles 79.70, 79.70, 60.00 degrees
Closest atoms and distances in Å follow each position.
Element x y z (fractional)
1 Ca 0.0000 0.0000 0.0000  2 Dy 3.72, 6 Ca 3.79
2 Dy 0.1195 0.1195 0.6414  3 Co 2.64
3 Dy 0.8805 0.8805 0.3586  3 Co 2.64
4 Co 0.5000 0.5000 0.5000  6 Dy 2.64

Calculated values
The value obtained for the excess energy over the best structure of this formula in the dataset is 0.1756 eV per atom. Its raw total energy is -18.0 eV/cell. As for the formation energy: 25 kJ/mol of formula units. Its crystal system is trigonal. As for the space group: No. 166.

=====

Compound: CaDy12Co6
Source: Alexandria
Functional: PBE
Structure: relaxed

Cell lengths 8.5001, 8.5001, 8.5001 Å; angles 109.47, 109.47, 109.47 degrees
Closest atoms and distances in Å follow each position.
Element x y z (fractional)
1 Dy 0.5081 0.1961 0.3120  3 Co 2.63-2.89
2 Co 0.1125 0.6125 0.5000  1 Co 2.21
3 Co 0.6125 0.5000 0.1125  1 Co 2.21
4 Co 0.5000 0.1125 0.6125  1 Co 2.21
5 Dy 0.1961 0.6880 0.8841  3 Co 2.63-2.89
6 Dy 0.3120 0.5081 0.1961  3 Co 2.63-2.89
7 Dy 0.1159 0.8039 0.3120  3 Co 2.63-2.89
8 Dy 0.3120 0.1159 0.8039  3 Co 2.63-2.89
9 Dy 0.8039 0.6880 0.4919  3 Co 2.63-2.89
10 Dy 0.1961 0.3120 0.5081  3 Co 2.63-2.89
11 Dy 0.8039 0.3120 0.1159  3 Co 2.63-2.89
12 Dy 0.6880 0.8841 0.1961  3 Co 2.63-2.89
13 Co 0.3875 0.5000 0.8875  1 Co 2.21
14 Ca 0.0000 0.0000 0.0000  12 Dy 3.62
15 Dy 0.4919 0.8039 0.6880  3 Co 2.63-2.89
16 Co 0.8875 0.3875 0.5000  1 Co 2.21
17 Dy 0.8841 0.1961 0.6880  3 Co 2.63-2.89
18 Co 0.5000 0.8875 0.3875  1 Co 2.21
19 Dy 0.6880 0.4919 0.8039  3 Co 2.63-2.89

Calculated values
Its raw total energy is -102.5 eV/cell. As for the formation energy: -254 kJ/mol of formula units. Its crystal system is cubic. As for the space group: No. 204.

=====

Compound: CaDy2Co
Source: Alexandria
Functional: PBE
Structure: relaxed

Cell lengths 3.6872, 6.9829, 9.0074 Å; angles 91.20, 90.00, 105.31 degrees
Closest atoms and distances in Å follow each position.
Element x y z (fractional)
1 Ca 0.6297 0.2594 0.9695  5 Ca 3.55-3.76, 7 Dy 3.69-3.94, 1 Co 3.94
2 Ca 0.3703 0.7406 0.0305  5 Ca 3.55-3.76, 7 Dy 3.69-3.94, 1 Co 3.94
3 Dy 0.9663 0.9327 0.6741  4 Co 2.76-2.89
4 Co 0.3999 0.7999 0.4666  1 Co 2.75, 7 Dy 2.75-2.89
5 Dy 0.2315 0.4629 0.6519  3 Co 2.75-2.85
6 Dy 0.0337 0.0673 0.3259  4 Co 2.76-2.89
7 Dy 0.7685 0.5371 0.3481  3 Co 2.75-2.85
8 Co 0.6001 0.2001 0.5334  1 Co 2.75, 7 Dy 2.75-2.89

Calculated values
The value obtained for the excess energy over the best structure of this formula in the dataset is 0.0000 eV per atom. Its raw total energy is -37.5 eV/cell. As for the formation energy: -42 kJ/mol of formula units. Its crystal system is monoclinic. As for the space group: No. 12.

=====

Compound: CaDyCo4
Source: Alexandria
Functional: PBE
Structure: relaxed

Cell lengths 5.0893, 5.0893, 5.0893 Å; angles 60.00, 60.00, 60.00 degrees
Closest atoms and distances in Å follow each position.
Element x y z (fractional)
1 Ca 0.0000 0.0000 0.0000  12 Co 2.98, 4 Dy 3.12
2 Co 0.6246 0.6245 0.1264  6 Co 2.54-2.55
3 Co 0.6246 0.6245 0.6245  6 Co 2.54-2.55
4 Co 0.1264 0.6245 0.6245  6 Co 2.54-2.55
5 Dy 0.2500 0.2500 0.2500  12 Co 2.98, 4 Ca 3.12
6 Co 0.6246 0.1264 0.6245  6 Co 2.54-2.55

Calculated values
Its raw total energy is -35.3 eV/cell. As for the formation energy: -29 kJ/mol of formula units. Its crystal system is cubic. As for the space group: No. 216.